No. 1
Material: Ba5NaGa2Sb6
Method: DFT, GGA-PBE
State: optimized geometry

Cell lengths 10.8618, 12.9391, 14.2609 Å; angles 90.00, 90.00, 90.00 degrees
Closest atoms and distances in Å follow each position.
Element x y z (fractional)
1 Ba 0.9724 0.0807 0.7521  6 Sb 3.40-3.63, 1 Na 3.70
2 Ba 0.0276 0.9193 0.2479  6 Sb 3.40-3.63, 1 Na 3.70
3 Ba 0.0276 0.4193 0.2521  6 Sb 3.40-3.63, 1 Na 3.70
4 Ba 0.4724 0.9193 0.2479  6 Sb 3.40-3.63, 1 Na 3.70
5 Ba 0.9724 0.5807 0.7479  6 Sb 3.40-3.63, 1 Na 3.70
6 Ba 0.5276 0.0807 0.7521  6 Sb 3.40-3.63, 1 Na 3.70
7 Ba 0.5276 0.5807 0.7479  6 Sb 3.40-3.63, 1 Na 3.70
8 Ba 0.4724 0.4193 0.2521  6 Sb 3.40-3.63, 1 Na 3.70
9 Ba 0.7500 0.1649 0.1804  3 Sb 3.34-3.61
10 Ba 0.2500 0.8351 0.8196  3 Sb 3.34-3.61
11 Ba 0.2500 0.3351 0.6804  3 Sb 3.34-3.61
12 Ba 0.7500 0.6649 0.3196  3 Sb 3.34-3.61
13 Ba 0.4799 0.3286 0.9621  7 Sb 3.68-4.00, 1 Ga 3.72
14 Ba 0.5201 0.6714 0.0379  7 Sb 3.68-4.00, 1 Ga 3.72
15 Ba 0.5201 0.1714 0.4621  7 Sb 3.68-4.00, 1 Ga 3.72
16 Ba 0.9799 0.6714 0.0379  7 Sb 3.68-4.00, 1 Ga 3.72
17 Ba 0.4799 0.8286 0.5379  7 Sb 3.68-4.00, 1 Ga 3.72
18 Ba 0.0201 0.3286 0.9621  7 Sb 3.68-4.00, 1 Ga 3.72
19 Ba 0.0201 0.8286 0.5379  7 Sb 3.68-4.00, 1 Ga 3.72
20 Ba 0.9799 0.1714 0.4621  7 Sb 3.68-4.00, 1 Ga 3.72
21 Na 0.0000 0.5000 0.5000  2 Ga 3.13, 4 Sb 3.40-3.46
22 Na 0.0000 0.0000 0.0000  2 Ga 3.13, 4 Sb 3.40-3.46
23 Na 0.5000 0.5000 0.5000  2 Ga 3.13, 4 Sb 3.40-3.46
24 Na 0.5000 0.0000 0.0000  2 Ga 3.13, 4 Sb 3.40-3.46
25 Ga 0.7500 0.3137 0.8024  4 Sb 2.78-2.88
26 Ga 0.2500 0.6863 0.1976  4 Sb 2.78-2.88
27 Ga 0.2500 0.1863 0.3024  4 Sb 2.78-2.88
28 Ga 0.7500 0.8137 0.6976  4 Sb 2.78-2.88
29 Ga 0.7500 0.4155 0.5768  4 Sb 2.77-2.97
30 Ga 0.2500 0.5845 0.4232  4 Sb 2.77-2.97
31 Ga 0.2500 0.0845 0.0768  4 Sb 2.77-2.97
32 Ga 0.7500 0.9155 0.9232  4 Sb 2.77-2.97
33 Sb 0.7500 0.4556 0.1144  1 Sb 2.90
34 Sb 0.2500 0.5444 0.8856  1 Sb 2.90
35 Sb 0.2500 0.0444 0.6144  1 Sb 2.90
36 Sb 0.7500 0.9556 0.3856  1 Sb 2.90
37 Sb 0.9431 0.3284 0.6754  2 Ga 2.77-2.78
38 Sb 0.0569 0.6716 0.3246  2 Ga 2.77-2.78
39 Sb 0.0569 0.1716 0.1754  2 Ga 2.77-2.78
40 Sb 0.4431 0.6716 0.3246  2 Ga 2.77-2.78
41 Sb 0.9431 0.8284 0.8246  2 Ga 2.77-2.78
42 Sb 0.5569 0.3284 0.6754  2 Ga 2.77-2.78
43 Sb 0.5569 0.8284 0.8246  2 Ga 2.77-2.78
44 Sb 0.4431 0.1716 0.1754  2 Ga 2.77-2.78
45 Sb 0.7500 0.1448 0.9276  2 Ga 2.82-2.97
46 Sb 0.2500 0.8552 0.0724  2 Ga 2.82-2.97
47 Sb 0.2500 0.3552 0.4276  2 Ga 2.82-2.97
48 Sb 0.7500 0.6448 0.5724  2 Ga 2.82-2.97
49 Sb 0.7500 0.4987 0.9147  1 Ga 2.88, 1 Sb 2.90
50 Sb 0.2500 0.5013 0.0853  1 Ga 2.88, 1 Sb 2.90
51 Sb 0.2500 0.0013 0.4147  1 Ga 2.88, 1 Sb 2.90
52 Sb 0.7500 0.9987 0.5853  1 Ga 2.88, 1 Sb 2.90
53 Sb 0.7500 0.8723 0.1143  1 Ga 2.78
54 Sb 0.2500 0.1277 0.8857  1 Ga 2.78
55 Sb 0.2500 0.6277 0.6143  1 Ga 2.78
56 Sb 0.7500 0.3723 0.3857  1 Ga 2.78

**Crystal system**: orthorhombic
**Formation energy from raw total energies**: -0.796 eV/atom
**Final energy**: -211.44 eV for the cell shown

***

No. 2
Material: BaNa2ScGa
Method: DFT, GGA-PBE
State: optimized geometry

Cell lengths 6.0332, 5.2695, 6.0332 Å; angles 90.00, 90.00, 90.00 degrees
Closest atoms and distances in Å follow each position.
Element x y z (fractional)
1 Sc 0.0000 0.0000 0.0000  2 Ga 2.63
2 Na 0.0000 0.0000 0.5000  2 Sc 3.02
3 Na 0.5000 0.0000 0.0000  2 Sc 3.02
4 Ba 0.5000 0.5000 0.5000  8 Na 4.01, 4 Ga 4.27
5 Ga 0.0000 0.5000 0.0000  2 Sc 2.63

**Crystal system**: tetragonal
**Final energy**: -12.21 eV for the cell shown
**Energy of formation from the pure elements**: 0.341 eV/atom

***

No. 3
Material: BaNa2GaSn2
Method: DFT, GGA-PBE
State: optimized geometry

Cell lengths 4.8943, 8.3818, 9.0774 Å; angles 90.00, 90.00, 90.00 degrees
Closest atoms and distances in Å follow each position.
Element x y z (fractional)
1 Ba 0.0000 0.0091 0.4370  2 Ga 3.46, 5 Sn 3.48-3.57, 1 Na 3.78
2 Ba 0.0000 0.5091 0.5630  2 Ga 3.46, 5 Sn 3.48-3.57, 1 Na 3.78
3 Na 0.5000 0.0219 0.0619  4 Na 3.48-3.68, 5 Sn 3.58-3.72, 2 Ga 3.79-3.90
4 Na 0.0000 0.3356 0.1502  4 Sn 3.09-3.13
5 Na 0.5000 0.5219 0.9381  4 Na 3.48-3.68, 5 Sn 3.58-3.72, 2 Ga 3.79-3.90
6 Na 0.0000 0.8356 0.8498  4 Sn 3.09-3.13
7 Ga 0.5000 0.1628 0.6654  4 Sn 2.90-3.00
8 Ga 0.5000 0.6628 0.3346  4 Sn 2.90-3.00
9 Sn 0.0000 0.2081 0.8310  2 Ga 2.90, 2 Na 3.09-3.13
10 Sn 0.5000 0.3082 0.3631  2 Ga 2.98-3.00, 2 Na 3.13
11 Sn 0.0000 0.7081 0.1690  2 Ga 2.90, 2 Na 3.09-3.13
12 Sn 0.5000 0.8082 0.6369  2 Ga 2.98-3.00, 2 Na 3.13

**Crystal system**: orthorhombic
**Final energy**: -34.90 eV for the cell shown
**Energy of formation from the pure elements**: -0.310 eV/atom

***

Please write out number 2 again, unchanged.
Material: BaNa2ScGa
Method: DFT, GGA-PBE
State: optimized geometry

Cell lengths 6.0332, 5.2695, 6.0332 Å; angles 90.00, 90.00, 90.00 degrees
Closest atoms and distances in Å follow each position.
Element x y z (fractional)
1 Sc 0.0000 0.0000 0.0000  2 Ga 2.63
2 Na 0.0000 0.0000 0.5000  2 Sc 3.02
3 Na 0.5000 0.0000 0.0000  2 Sc 3.02
4 Ba 0.5000 0.5000 0.5000  8 Na 4.01, 4 Ga 4.27
5 Ga 0.0000 0.5000 0.0000  2 Sc 2.63

**Crystal system**: tetragonal
**Final energy**: -12.21 eV for the cell shown
**Energy of formation from the pure elements**: 0.341 eV/atom

***

Which value of final energy does entry 3 give? -34.90 eV for the cell shown